Below is a PBEsol-optimized structure of B3HS, with properties calculated at the meta-GGA SCAN level.

Density in Mg/m³: 2.08
Offset from the most stable computed form in kJ per mole of atoms: 19.79
Fermi-level density of states in states/eV/cell: 2.4

Cell: 3.742 3.742 3.742 Å, 90.00 90.00 90.00°
Fractional positions:
B 0.000 0.000 0.500
B 0.500 0.000 0.000
B 0.000 0.500 0.000
H 0.500 0.500 0.500
S 0.000 0.000 0.000

Below is a PBEsol-optimized structure of LaAlH2, with properties calculated at the meta-GGA SCAN level.

Density in Mg/m³: 5.08
Uncorrected energy in eV/atom: -14.579
Fermi-level density of states in states/eV/cell: 0.8

Cell: 4.267 4.267 4.267 Å, 60.00 60.00 60.00°
Fractional positions:
H 0.750 0.750 0.750
H 0.250 0.250 0.250
La 0.500 0.500 0.500
Al 0.000 0.000 0.000

Below is a PBEsol-optimized structure of Al3HAu, with properties calculated at the meta-GGA SCAN level.

Density in Mg/m³: 7.02
Uncorrected energy in eV/atom: -19.254
Fermi-level density of states in states/eV/cell: 1.5

Cell: 4.040 4.040 4.040 Å, 90.00 90.00 90.00°
Fractional positions:
H 0.000 0.000 0.000
Al 0.000 0.500 0.000
Al 0.000 0.000 0.500
Al 0.500 0.000 0.000
Au 0.500 0.500 0.500